Material: RbDy2Cu3Se4S
Method: DFT, PBE
State: relaxed Values from VASP.

Quantum ESPRESSO input file:
```
&SYSTEM
  ibrav = 0, nat = 22, ntyp = 5
/
ATOMIC_SPECIES
Rb 85.47 Rb.upf
Dy 162.50 Dy.upf
Cu 63.55 Cu.upf
Se 78.96 Se.upf
S 32.06 S.upf
CELL_PARAMETERS angstrom
2.043 -7.260 0.000
2.043 7.260 0.000
0.000 0.000 16.917
ATOMIC_POSITIONS crystal
Rb 0.067 0.933 0.750
Rb 0.933 0.067 0.250
Dy 0.193 0.807 0.096
Dy 0.193 0.807 0.404
Dy 0.807 0.193 0.596
Dy 0.807 0.193 0.904
Cu 0.336 0.664 0.750
Cu 0.415 0.585 0.027
Cu 0.415 0.585 0.473
Cu 0.585 0.415 0.527
Cu 0.585 0.415 0.973
Cu 0.664 0.336 0.250
Se 0.166 0.834 0.571
Se 0.166 0.834 0.929
Se 0.442 0.558 0.619
Se 0.442 0.558 0.881
Se 0.558 0.442 0.119
Se 0.558 0.442 0.381
Se 0.834 0.166 0.071
Se 0.834 0.166 0.429
S 0.238 0.762 0.250
S 0.762 0.238 0.750
```


Material: Pr5SnIr2
Method: DFT, PBE
State: relaxed Values from VASP.

Quantum ESPRESSO input file:
```
&SYSTEM
  ibrav = 0, nat = 16, ntyp = 3
/
ATOMIC_SPECIES
Pr 140.91 Pr.upf
Sn 118.71 Sn.upf
Ir 192.22 Ir.upf
CELL_PARAMETERS angstrom
-4.039 4.039 7.025
4.039 -4.039 7.025
4.039 4.039 -7.025
ATOMIC_POSITIONS crystal
Pr 0.000 0.000 0.000
Pr 0.027 0.527 0.822
Pr 0.205 0.027 0.500
Pr 0.295 0.795 0.822
Pr 0.473 0.295 0.500
Pr 0.500 0.500 0.000
Pr 0.527 0.705 0.500
Pr 0.705 0.205 0.178
Pr 0.795 0.973 0.500
Pr 0.973 0.473 0.178
Sn 0.250 0.250 0.000
Sn 0.750 0.750 0.000
Ir 0.138 0.362 0.500
Ir 0.362 0.862 0.224
Ir 0.638 0.138 0.776
Ir 0.862 0.638 0.500
```


Material: Li4AgPb2Au
Method: DFT, PBE
State: relaxed Values from VASP.

Quantum ESPRESSO input file:
```
&SYSTEM
  ibrav = 0, nat = 8, ntyp = 4
/
ATOMIC_SPECIES
Li 6.94 Li.upf
Ag 107.87 Ag.upf
Pb 207.20 Pb.upf
Au 196.97 Au.upf
CELL_PARAMETERS angstrom
4.740 0.000 0.000
0.000 4.740 0.000
0.000 0.000 6.665
ATOMIC_POSITIONS crystal
Li 0.000 0.000 0.000
Li 0.000 0.500 0.243
Li 0.500 0.000 0.757
Li 0.500 0.500 0.500
Ag 0.000 0.000 0.500
Pb 0.000 0.500 0.749
Pb 0.500 0.000 0.251
Au 0.500 0.500 0.000
```


! PBE PmNpOs, relaxed; values from VASP
! * distance to the lowest polymorph of the same formula: 0 meV/atom
! * ΔH_f (0 K): 0.26 eV per atom
&SYSTEM
  ibrav = 0, nat = 12, ntyp = 3
/
ATOMIC_SPECIES
Pm 145.00 Pm.upf
Np 237.00 Np.upf
Os 190.23 Os.upf
CELL_PARAMETERS angstrom
6.687 0.000 0.000
0.000 6.687 0.000
0.000 0.000 6.687
ATOMIC_POSITIONS crystal
Pm 0.000 0.000 0.000
Pm 0.000 0.500 0.500
Pm 0.500 0.000 0.500
Pm 0.500 0.500 0.000
Np 0.000 0.000 0.500
Np 0.000 0.500 0.000
Np 0.500 0.000 0.000
Np 0.500 0.500 0.500
Os 0.250 0.250 0.750
Os 0.250 0.750 0.250
Os 0.750 0.250 0.250
Os 0.750 0.750 0.750


Material: YMoPb2
Method: DFT, PBE
State: relaxed Values from VASP.

Quantum ESPRESSO input file:
```
&SYSTEM
  ibrav = 0, nat = 16, ntyp = 3
/
ATOMIC_SPECIES
Y 88.91 Y.upf
Mo 95.94 Mo.upf
Pb 207.20 Pb.upf
CELL_PARAMETERS angstrom
7.398 0.000 0.000
0.000 7.398 0.000
0.000 0.000 7.398
ATOMIC_POSITIONS crystal
Y 0.000 0.000 0.000
Y 0.000 0.500 0.500
Y 0.500 0.000 0.500
Y 0.500 0.500 0.000
Mo 0.250 0.250 0.250
Mo 0.250 0.750 0.750
Mo 0.750 0.250 0.750
Mo 0.750 0.750 0.250
Pb 0.000 0.000 0.500
Pb 0.000 0.500 0.000
Pb 0.250 0.250 0.750
Pb 0.250 0.750 0.250
Pb 0.500 0.000 0.000
Pb 0.500 0.500 0.500
Pb 0.750 0.250 0.250
Pb 0.750 0.750 0.750
```


Material: Fe2CuTe2H24C23Br
Method: DFT, PBE
State: relaxed Values from VASP.

Quantum ESPRESSO input file:
```
&SYSTEM
  ibrav = 0, nat = 106, ntyp = 6
/
ATOMIC_SPECIES
Fe 55.84 Fe.upf
Cu 63.55 Cu.upf
Te 127.60 Te.upf
H 1.01 H.upf
C 12.01 C.upf
Br 79.90 Br.upf
CELL_PARAMETERS angstrom
10.528 0.000 0.000
-4.024 10.584 0.000
-4.724 -3.721 10.450
ATOMIC_POSITIONS crystal
Fe 0.026 0.480 0.256
Fe 0.318 0.089 0.674
Fe 0.682 0.911 0.326
Fe 0.974 0.520 0.744
Cu 0.055 0.956 0.930
Cu 0.945 0.044 0.070
Te 0.153 0.220 0.287
Te 0.333 0.111 0.987
Te 0.667 0.889 0.013
Te 0.847 0.780 0.713
H 0.048 0.047 0.691
H 0.092 0.373 0.640
H 0.106 0.170 0.527
H 0.115 0.605 0.595
H 0.119 0.812 0.577
H 0.125 0.412 0.085
H 0.153 0.408 0.884
H 0.167 0.937 0.411
H 0.188 0.673 0.177
H 0.192 0.786 0.816
H 0.215 0.666 0.994
H 0.232 0.277 0.064
H 0.260 0.512 0.494
H 0.269 0.733 0.428
H 0.344 0.132 0.257
H 0.387 0.905 0.241
H 0.397 0.909 0.792
H 0.410 0.371 0.064
H 0.411 0.342 0.646
H 0.440 0.660 0.733
H 0.451 0.269 0.404
H 0.456 0.675 0.118
H 0.462 0.433 0.286
H 0.470 0.115 0.526
H 0.530 0.885 0.474
H 0.538 0.567 0.714
H 0.544 0.325 0.882
H 0.549 0.731 0.596
H 0.560 0.340 0.267
H 0.589 0.658 0.354
H 0.590 0.629 0.936
H 0.603 0.091 0.208
H 0.613 0.095 0.759
H 0.656 0.868 0.743
H 0.731 0.267 0.572
H 0.740 0.488 0.506
H 0.768 0.723 0.936
H 0.785 0.334 0.006
H 0.808 0.214 0.184
H 0.812 0.327 0.823
H 0.833 0.063 0.589
H 0.847 0.592 0.116
H 0.875 0.588 0.915
H 0.881 0.188 0.423
H 0.885 0.395 0.405
H 0.894 0.830 0.473
H 0.908 0.627 0.360
H 0.952 0.953 0.309
C 0.124 0.466 0.709
C 0.136 0.589 0.686
C 0.158 0.485 0.840
C 0.159 0.122 0.709
C 0.167 0.469 0.183
C 0.177 0.684 0.802
C 0.189 0.189 0.624
C 0.190 0.416 0.288
C 0.190 0.620 0.897
C 0.201 0.606 0.232
C 0.230 0.887 0.594
C 0.237 0.522 0.400
C 0.243 0.638 0.365
C 0.254 0.954 0.506
C 0.303 0.172 0.826
C 0.351 0.280 0.687
C 0.352 0.295 0.098
C 0.373 0.237 0.301
C 0.376 0.939 0.707
C 0.415 0.047 0.566
C 0.422 0.271 0.811
C 0.444 0.331 0.241
C 0.491 0.038 0.690
C 0.509 0.962 0.310
C 0.556 0.669 0.759
C 0.578 0.729 0.189
C 0.585 0.953 0.434
C 0.624 0.061 0.293
C 0.627 0.763 0.699
C 0.648 0.705 0.902
C 0.649 0.720 0.313
C 0.697 0.828 0.174
C 0.746 0.046 0.494
C 0.757 0.362 0.635
C 0.763 0.478 0.600
C 0.770 0.113 0.406
C 0.799 0.394 0.768
C 0.810 0.380 0.103
C 0.810 0.584 0.712
C 0.811 0.811 0.376
C 0.823 0.316 0.198
C 0.833 0.531 0.817
C 0.841 0.878 0.291
C 0.842 0.515 0.160
C 0.864 0.411 0.314
C 0.876 0.534 0.291
Br 0.075 0.880 0.114
Br 0.925 0.120 0.886
```


Material: La3NdAs2Br2
Method: DFT, PBE
State: relaxed Values from VASP.

Quantum ESPRESSO input file:
```
&SYSTEM
  ibrav = 0, nat = 8, ntyp = 4
/
ATOMIC_SPECIES
La 138.91 La.upf
Nd 144.24 Nd.upf
As 74.92 As.upf
Br 79.90 Br.upf
CELL_PARAMETERS angstrom
4.264 0.000 0.000
-2.132 3.693 0.000
0.000 0.000 15.056
ATOMIC_POSITIONS crystal
La 0.000 0.000 0.000
La 0.000 0.000 0.289
La 0.667 0.333 0.505
Nd 0.667 0.333 0.790
As 0.333 0.667 0.397
As 0.333 0.667 0.892
Br 0.000 0.000 0.650
Br 0.667 0.333 0.144
```


! PBE NaScBAu, relaxed; values from VASP
! * distance to the lowest polymorph of the same formula: 0 meV/atom
&SYSTEM
  ibrav = 0, nat = 16, ntyp = 4
/
ATOMIC_SPECIES
Na 22.99 Na.upf
Sc 44.96 Sc.upf
B 10.81 B.upf
Au 196.97 Au.upf
CELL_PARAMETERS angstrom
6.237 0.000 0.000
0.000 6.237 0.000
0.000 0.000 6.237
ATOMIC_POSITIONS crystal
Na 0.000 0.000 0.000
Na 0.000 0.500 0.500
Na 0.500 0.000 0.500
Na 0.500 0.500 0.000
Sc 0.250 0.250 0.250
Sc 0.250 0.750 0.750
Sc 0.750 0.250 0.750
Sc 0.750 0.750 0.250
B 0.000 0.000 0.500
B 0.000 0.500 0.000
B 0.500 0.000 0.000
B 0.500 0.500 0.500
Au 0.250 0.250 0.750
Au 0.250 0.750 0.250
Au 0.750 0.250 0.250
Au 0.750 0.750 0.750


Material: CsAgTe2IrS
Method: DFT, PBE
State: relaxed Values from VASP.

Quantum ESPRESSO input file:
```
&SYSTEM
  ibrav = 0, nat = 12, ntyp = 5
/
ATOMIC_SPECIES
Cs 132.91 Cs.upf
Ag 107.87 Ag.upf
Te 127.60 Te.upf
Ir 192.22 Ir.upf
S 32.06 S.upf
CELL_PARAMETERS angstrom
2.057 -8.497 0.000
2.057 8.497 0.000
0.000 0.000 10.193
ATOMIC_POSITIONS crystal
Cs 0.238 0.762 0.750
Cs 0.762 0.238 0.250
Ag 0.465 0.535 0.250
Ag 0.535 0.465 0.750
Te 0.396 0.604 0.011
Te 0.396 0.604 0.489
Te 0.604 0.396 0.511
Te 0.604 0.396 0.989
Ir 0.000 0.000 0.000
Ir 0.000 0.000 0.500
S 0.052 0.948 0.250
S 0.948 0.052 0.750
```


Material: LuSn2Bi
Method: DFT, PBE
State: relaxed Values from VASP.

Quantum ESPRESSO input file:
```
&SYSTEM
  ibrav = 0, nat = 16, ntyp = 3
/
ATOMIC_SPECIES
Lu 174.97 Lu.upf
Sn 118.71 Sn.upf
Bi 208.98 Bi.upf
CELL_PARAMETERS angstrom
7.653 0.000 0.000
0.000 7.653 0.000
0.000 0.000 7.653
ATOMIC_POSITIONS crystal
Lu 0.000 0.000 0.000
Lu 0.000 0.500 0.500
Lu 0.500 0.000 0.500
Lu 0.500 0.500 0.000
Sn 0.000 0.000 0.500
Sn 0.000 0.500 0.000
Sn 0.250 0.250 0.250
Sn 0.250 0.750 0.750
Sn 0.500 0.000 0.000
Sn 0.500 0.500 0.500
Sn 0.750 0.250 0.750
Sn 0.750 0.750 0.250
Bi 0.250 0.250 0.750
Bi 0.250 0.750 0.250
Bi 0.750 0.250 0.250
Bi 0.750 0.750 0.750
```


Material: KTmTe3Pt
Method: DFT, PBE
State: relaxed Values from VASP.

Quantum ESPRESSO input file:
```
&SYSTEM
  ibrav = 0, nat = 12, ntyp = 4
/
ATOMIC_SPECIES
K 39.10 K.upf
Tm 168.93 Tm.upf
Te 127.60 Te.upf
Pt 195.08 Pt.upf
CELL_PARAMETERS angstrom
2.121 -8.779 0.000
2.121 8.779 0.000
0.000 0.000 10.409
ATOMIC_POSITIONS crystal
K 0.245 0.755 0.750
K 0.755 0.245 0.250
Tm 0.000 0.000 0.000
Tm 0.000 0.000 0.500
Te 0.090 0.910 0.250
Te 0.383 0.617 0.077
Te 0.383 0.617 0.423
Te 0.617 0.383 0.577
Te 0.617 0.383 0.923
Te 0.910 0.090 0.750
Pt 0.494 0.506 0.250
Pt 0.506 0.494 0.750
```


! PBE PmBeFe, relaxed; values from VASP
! * distance to the lowest polymorph of the same formula: 0 meV/atom
&SYSTEM
  ibrav = 0, nat = 12, ntyp = 3
/
ATOMIC_SPECIES
Pm 145.00 Pm.upf
Be 9.01 Be.upf
Fe 55.84 Fe.upf
CELL_PARAMETERS angstrom
5.985 0.000 0.000
0.000 5.985 0.000
0.000 0.000 5.985
ATOMIC_POSITIONS crystal
Pm 0.000 0.000 0.000
Pm 0.000 0.500 0.500
Pm 0.500 0.000 0.500
Pm 0.500 0.500 0.000
Be 0.250 0.250 0.750
Be 0.250 0.750 0.250
Be 0.750 0.250 0.250
Be 0.750 0.750 0.750
Fe 0.000 0.000 0.500
Fe 0.000 0.500 0.000
Fe 0.500 0.000 0.000
Fe 0.500 0.500 0.500


Material: Lu3In3NiAg2
Method: DFT, PBE
State: relaxed Values from VASP.

Quantum ESPRESSO input file:
```
&SYSTEM
  ibrav = 0, nat = 9, ntyp = 4
/
ATOMIC_SPECIES
Lu 174.97 Lu.upf
In 114.82 In.upf
Ni 58.69 Ni.upf
Ag 107.87 Ag.upf
CELL_PARAMETERS angstrom
7.622 0.000 0.000
-3.811 6.601 0.000
0.000 0.000 3.847
ATOMIC_POSITIONS crystal
Lu 0.000 0.603 0.000
Lu 0.397 0.397 0.000
Lu 0.603 0.000 0.000
In 0.000 0.249 0.500
In 0.249 0.000 0.500
In 0.751 0.751 0.500
Ni 0.000 0.000 0.000
Ag 0.333 0.667 0.500
Ag 0.667 0.333 0.500
```


! PBE NbSi2Tc2, relaxed; values from VASP
! * distance to the lowest polymorph of the same formula: 524 meV/atom
&SYSTEM
  ibrav = 0, nat = 10, ntyp = 3
/
ATOMIC_SPECIES
Nb 92.91 Nb.upf
Si 28.09 Si.upf
Tc 98.00 Tc.upf
CELL_PARAMETERS angstrom
4.234 0.000 0.000
0.000 4.234 0.000
0.000 0.000 9.006
ATOMIC_POSITIONS crystal
Nb 0.000 0.000 0.000
Nb 0.500 0.500 0.500
Si 0.000 0.500 0.250
Si 0.000 0.500 0.750
Si 0.500 0.000 0.250
Si 0.500 0.000 0.750
Tc 0.000 0.000 0.374
Tc 0.000 0.000 0.626
Tc 0.500 0.500 0.126
Tc 0.500 0.500 0.874


Material: GdNiGe3
Method: DFT, PBE
State: relaxed Values from VASP.

Quantum ESPRESSO input file:
```
&SYSTEM
  ibrav = 0, nat = 10, ntyp = 3
/
ATOMIC_SPECIES
Gd 157.25 Gd.upf
Ni 58.69 Ni.upf
Ge 72.64 Ge.upf
CELL_PARAMETERS angstrom
2.057 -10.876 0.000
2.057 10.876 0.000
0.000 0.000 4.119
ATOMIC_POSITIONS crystal
Gd 0.169 0.831 0.000
Gd 0.831 0.169 0.000
Ni 0.390 0.610 0.500
Ni 0.610 0.390 0.500
Ge 0.057 0.943 0.500
Ge 0.284 0.716 0.500
Ge 0.443 0.557 0.000
Ge 0.557 0.443 0.000
Ge 0.716 0.284 0.500
Ge 0.943 0.057 0.500
```


! PBE LiNdSm, relaxed; values from VASP
! * distance to the lowest polymorph of the same formula: 0 meV/atom
&SYSTEM
  ibrav = 0, nat = 12, ntyp = 3
/
ATOMIC_SPECIES
Li 6.94 Li.upf
Nd 144.24 Nd.upf
Sm 150.36 Sm.upf
CELL_PARAMETERS angstrom
7.259 0.000 0.000
0.000 7.259 0.000
0.000 0.000 7.259
ATOMIC_POSITIONS crystal
Li 0.000 0.000 0.000
Li 0.000 0.500 0.500
Li 0.500 0.000 0.500
Li 0.500 0.500 0.000
Nd 0.250 0.250 0.750
Nd 0.250 0.750 0.250
Nd 0.750 0.250 0.250
Nd 0.750 0.750 0.750
Sm 0.250 0.250 0.250
Sm 0.250 0.750 0.750
Sm 0.750 0.250 0.750
Sm 0.750 0.750 0.250


Material: ZrUBi
Method: DFT, PBE
State: relaxed Values from VASP.

Quantum ESPRESSO input file:
```
&SYSTEM
  ibrav = 0, nat = 12, ntyp = 3
/
ATOMIC_SPECIES
Zr 91.22 Zr.upf
U 238.03 U.upf
Bi 208.98 Bi.upf
CELL_PARAMETERS angstrom
7.301 0.000 0.000
0.000 7.301 0.000
0.000 0.000 7.301
ATOMIC_POSITIONS crystal
Zr 0.000 0.000 0.000
Zr 0.000 0.500 0.500
Zr 0.500 0.000 0.500
Zr 0.500 0.500 0.000
U 0.250 0.250 0.750
U 0.250 0.750 0.250
U 0.750 0.250 0.250
U 0.750 0.750 0.750
Bi 0.000 0.000 0.500
Bi 0.000 0.500 0.000
Bi 0.500 0.000 0.000
Bi 0.500 0.500 0.500
```


Material: TbTm3Sb4
Method: DFT, PBE
State: relaxed Values from VASP.

Quantum ESPRESSO input file:
```
&SYSTEM
  ibrav = 0, nat = 8, ntyp = 3
/
ATOMIC_SPECIES
Tb 158.93 Tb.upf
Tm 168.93 Tm.upf
Sb 121.76 Sb.upf
CELL_PARAMETERS angstrom
6.152 0.000 0.000
0.000 6.152 0.000
0.000 0.000 6.152
ATOMIC_POSITIONS crystal
Tb 0.000 0.000 0.000
Tm 0.000 0.500 0.500
Tm 0.500 0.000 0.500
Tm 0.500 0.500 0.000
Sb 0.000 0.000 0.500
Sb 0.000 0.500 0.000
Sb 0.500 0.000 0.000
Sb 0.500 0.500 0.500
```


! PBE Pr2Hf, relaxed; values from VASP
! * ΔH_f (0 K): 0.71 eV per atom
&SYSTEM
  ibrav = 0, nat = 6, ntyp = 2
/
ATOMIC_SPECIES
Pr 140.91 Pr.upf
Hf 178.49 Hf.upf
CELL_PARAMETERS angstrom
0.000 4.508 4.508
4.508 0.000 4.508
4.508 4.508 0.000
ATOMIC_POSITIONS crystal
Pr 0.000 0.000 0.000
Pr 0.000 0.000 0.500
Pr 0.000 0.500 0.000
Pr 0.500 0.000 0.000
Hf 0.375 0.375 0.375
Hf 0.625 0.625 0.625


| no. | energy (eV per atom) |
| --- | --- |
| 1 | -4.7380 |
| 2 | -6.3169 |
| 3 | -2.9785 |
| 4 | -9.3158 |
| 5 | -5.6734 |
| 6 | -6.0532 |
| 7 | -5.5366 |
| 8 | -4.1501 |
| 9 | -4.0149 |
| 10 | -4.2693 |
| 11 | -4.4319 |
| 12 | -5.0172 |
| 13 | -4.1003 |
| 14 | -8.2256 |
| 15 | -5.4130 |
| 16 | -3.3166 |
| 17 | -6.9843 |
| 18 | -5.4017 |
| 19 | -5.7920 |